KTi2Pt2 | Alexandria via LeMat-Bulk | GGA-PBE | optimized geometry; relative energy among the computed polymorphs = 0.000 eV per atom; electronic total energy = -31.11 eV for the cell shown; energy of formation = -0.4280 eV/atom
1.0
4.460 0.000 0.000
0.000 4.460 0.000
2.230 2.230 5.342
K Pt Ti
1 2 2
direct
0.000 0.000 0.000 K
0.371 0.371 0.259 Pt
0.629 0.629 0.741 Pt
0.750 0.250 0.500 Ti
0.250 0.750 0.500 Ti

=====

K2TiPt | Alexandria via LeMat-Bulk | GGA-PBE | optimized geometry; relative energy among the computed polymorphs = 0.000 eV per atom; electronic total energy = -28.69 eV for the cell shown; energy of formation = 0.4466 eV/atom
1.0
12.055 0.000 0.000
0.000 12.055 0.000
6.028 6.028 2.436
K Pt Ti
4 2 2
direct
0.781 0.125 0.250 K
0.969 0.625 0.250 K
0.375 0.219 0.750 K
0.875 0.031 0.750 K
0.000 0.000 0.000 Pt
0.750 0.250 0.500 Pt
0.500 0.500 0.000 Ti
0.250 0.750 0.500 Ti

=====

K2TiPt | Alexandria via LeMat-Bulk | GGA-PBE | optimized geometry; relative energy among the computed polymorphs = 0.537 eV per atom; electronic total energy = -12.20 eV for the cell shown; energy of formation = 0.9839 eV/atom
1.0
0.000 3.894 3.894
3.894 0.000 3.894
3.894 3.894 0.000
K Pt Ti
2 1 1
direct
0.250 0.250 0.250 K
0.750 0.750 0.750 K
0.500 0.500 0.500 Pt
0.000 0.000 0.000 Ti

=====

K2Ti2Pt | Alexandria via LeMat-Bulk | GGA-PBE | optimized geometry; relative energy among the computed polymorphs = 0.000 eV per atom; electronic total energy = -44.42 eV for the cell shown; energy of formation = 0.3627 eV/atom
1.0
-1.648 4.656 -4.453
-4.956 -3.853 -2.194
-3.890 2.622 4.181
K Pt Ti
4 2 4
direct
0.192 0.692 0.500 K
0.692 0.808 0.500 K
0.808 0.308 0.500 K
0.308 0.192 0.500 K
0.000 0.000 0.000 Pt
0.500 0.500 0.000 Pt
0.349 0.849 0.000 Ti
0.849 0.651 0.000 Ti
0.651 0.151 0.000 Ti
0.151 0.349 0.000 Ti

=====

KTi3Pt | Alexandria via LeMat-Bulk | GGA-PBE | optimized geometry; relative energy among the computed polymorphs = 0.000 eV per atom; electronic total energy = -28.29 eV for the cell shown; energy of formation = 0.5067 eV/atom
1.0
4.982 0.000 0.000
0.000 4.982 0.000
0.000 0.000 4.982
K Pt Ti
1 1 3
direct
0.500 0.500 0.500 K
0.000 0.000 0.000 Pt
0.000 0.500 0.000 Ti
0.000 0.000 0.500 Ti
0.500 0.000 0.000 Ti

=====

KTi3Pt | Alexandria via LeMat-Bulk | GGA-PBE | optimized geometry; relative energy among the computed polymorphs = 1.201 eV per atom; electronic total energy = -22.28 eV for the cell shown; energy of formation = 1.7082 eV/atom
1.0
-1.775 -3.385 2.223
2.943 0.589 3.247
-2.782 2.783 2.016
K Pt Ti
1 1 3
direct
0.000 0.000 0.000 K
0.500 0.500 0.500 Pt
0.000 0.500 0.000 Ti
0.000 0.000 0.500 Ti
0.500 0.000 0.000 Ti